[1]
# Tl2InBiC

A relaxed structure of Tl2InBiC (PBE, the Alexandria database).

Cell lengths 6.3056, 4.4357, 6.3056 Å; angles 90.00, 90.00, 90.00 degrees
With the nearest neighbours (Å) after each atom.
Positions (direct):
C  0.0000  0.5000  0.0000  2 Bi 2.22
Tl  0.0000  0.0000  0.5000  2 Bi 3.15
Tl  0.5000  0.0000  0.0000  2 Bi 3.15
Bi  0.0000  0.0000  0.0000  2 C 2.22
In  0.5000  0.5000  0.5000  8 Tl 3.85

Output
The density of states at the Fermi level is 2.8 states/eV per cell. Its electronic total energy is -14.5 eV per cell. For the magnetization, the calculation gives 0.0 Bohr magnetons per cell. The crystal system is tetragonal. For the formation enthalpy at 0 K, the calculation gives 118 kJ per mole of atoms.

[2]
# Tm4InBiC

A relaxed structure of Tm4InBiC (PBE, the Alexandria database).

Cell lengths 6.7269, 6.7264, 8.5926 Å; angles 90.00, 113.04, 90.00 degrees
With the nearest neighbours (Å) after each atom.
Positions (direct):
Tm  0.9087  0.2500  0.8174  1 C 2.51
Tm  0.4030  0.7500  0.8060  1 C 2.42
Tm  0.0913  0.7500  0.1826  1 C 2.51
Tm  0.5970  0.2500  0.1940  1 C 2.42
Tm  0.5000  0.5000  0.5000  2 C 2.38
Tm  0.0000  0.0000  0.5000  2 C 2.38
Tm  0.5000  0.0000  0.5000  2 C 2.38
Tm  0.0000  0.5000  0.5000  2 C 2.38
In  0.1110  0.2500  0.2220  9 Tm 3.20-3.38
In  0.8890  0.7500  0.7780  9 Tm 3.20-3.38
Bi  0.6054  0.7500  0.2107  9 Tm 3.20-3.37
Bi  0.3946  0.2500  0.7893  9 Tm 3.20-3.37
C  0.2500  0.7500  0.5000  6 Tm 2.38-2.51
C  0.7500  0.2500  0.5000  6 Tm 2.38-2.51

Output
The density of states at the Fermi level is 2.0 states/eV per cell. Its electronic total energy is -75.5 eV per cell. For the magnetization, the calculation gives 0.0 Bohr magnetons per cell. The crystal system is orthorhombic. For the formation enthalpy at 0 K, the calculation gives -55 kJ per mole of atoms.

[3]
# Y4InBiC

A relaxed structure of Y4InBiC (PBE, the Alexandria database).

Cell lengths 6.8418, 6.8413, 8.7300 Å; angles 90.00, 113.07, 90.00 degrees
With the nearest neighbours (Å) after each atom.
Positions (direct):
Y  0.9102  0.2500  0.8204  1 C 2.58
Y  0.4051  0.7500  0.8103  1 C 2.48
Y  0.0898  0.7500  0.1796  1 C 2.58
Y  0.5949  0.2500  0.1897  1 C 2.48
Y  0.5000  0.5000  0.5000  2 C 2.42
Y  0.0000  0.0000  0.5000  2 C 2.42
Y  0.5000  0.0000  0.5000  2 C 2.42
Y  0.0000  0.5000  0.5000  2 C 2.42
In  0.1113  0.2500  0.2226  9 Y 3.23-3.44
In  0.8887  0.7500  0.7774  9 Y 3.23-3.44
Bi  0.6064  0.7500  0.2127  9 Y 3.23-3.43
Bi  0.3936  0.2500  0.7873  9 Y 3.23-3.43
C  0.2506  0.7500  0.5011  6 Y 2.42-2.58
C  0.7494  0.2500  0.4989  6 Y 2.42-2.58

Output
The density of states at the Fermi level is 2.0 states/eV per cell. Its electronic total energy is -91.7 eV per cell. For the magnetization, the calculation gives 0.0 Bohr magnetons per cell. The crystal system is orthorhombic. For the formation enthalpy at 0 K, the calculation gives -57 kJ per mole of atoms.